(1)
DFT (PBE) results for crystalline Er12In3Tc at its relaxed geometry.

```
Er12In3Tc
1.0
4.770 0.000 0.000
0.000 4.770 0.000
0.000 0.000 18.885
Er In Tc
12 3 1
Direct
0.500 0.500 0.000 Er
0.500 0.500 0.243 Er
0.500 0.500 0.500 Er
0.500 0.500 0.757 Er
0.500 0.000 0.110 Er
0.500 0.000 0.371 Er
0.500 0.000 0.629 Er
0.500 0.000 0.890 Er
0.000 0.500 0.110 Er
0.000 0.500 0.371 Er
0.000 0.500 0.629 Er
0.000 0.500 0.890 Er
0.000 0.000 0.246 In
0.000 0.000 0.500 In
0.000 0.000 0.754 In
0.000 0.000 0.000 Tc
```

- M_tot: 0.00 μB per formula unit
- DFT formation energy: -0.16 eV per atom
- Electronic total energy: -4.74 eV per atom

---

(2)
DFT (PBE) results for crystalline Er12In6Tc at its relaxed geometry.

```
Er12In6Tc
1.0
7.945 0.555 0.664
-0.656 7.937 0.664
-0.656 -0.765 7.928
Er In Tc
12 6 1
Direct
0.803 0.531 0.447 Er
0.447 0.803 0.531 Er
0.531 0.447 0.803 Er
0.197 0.469 0.553 Er
0.553 0.197 0.469 Er
0.469 0.553 0.197 Er
0.027 0.129 0.351 Er
0.871 0.649 0.973 Er
0.649 0.973 0.871 Er
0.973 0.871 0.649 Er
0.129 0.351 0.027 Er
0.351 0.027 0.129 Er
0.722 0.883 0.258 In
0.742 0.278 0.117 In
0.117 0.742 0.278 In
0.278 0.117 0.742 In
0.258 0.722 0.883 In
0.883 0.258 0.722 In
0.000 0.000 0.000 Tc
```

- M_tot: 0.00 μB per formula unit
- DFT formation energy: -0.19 eV per atom
- Electronic total energy: -4.48 eV per atom

---

(3)
DFT (PBE) results for crystalline ErInTc at its relaxed geometry.

```
ErInTc
1.0
-3.425 2.871 0.381
-2.534 -3.255 1.761
2.156 1.735 6.308
Tc In Er
2 2 2
Direct
0.000 0.000 0.000 Tc
0.500 0.500 0.000 Tc
0.000 0.500 0.757 In
0.500 0.000 0.243 In
0.000 0.500 0.280 Er
0.500 0.000 0.720 Er
```

- M_tot: 0.43 μB per formula unit
- DFT formation energy: -0.03 eV per atom
- Electronic total energy: -5.92 eV per atom

---

> What is the formula in the first record?

Er12In3Tc